Record 1
A relaxed structure of CeNi4Sn2. Source: Alexandria via LeMat-Bulk, functional PBE-GGA.

Cell lengths 6.7219, 6.7219, 6.7219 Å; angles 110.74, 110.74, 106.97 degrees
Last column: nearest neighbours and their distance in Å.
Fractional coordinates of all 14 atoms:
Ni  0.1944  0.6944  0.2200  4 Ni 2.53-2.73, 4 Sn 2.55-2.68
Ni  0.8056  0.3056  0.7800  4 Ni 2.53-2.73, 4 Sn 2.55-2.68
Ni  0.4744  0.9744  0.7800  4 Ni 2.53-2.73, 4 Sn 2.55-2.68
Ni  0.0256  0.8056  0.5000  4 Ni 2.53-2.73, 4 Sn 2.55-2.68
Ni  0.9744  0.1944  0.5000  4 Ni 2.53-2.73, 4 Sn 2.55-2.68
Ni  0.6944  0.4744  0.5000  4 Ni 2.53-2.73, 4 Sn 2.55-2.68
Ni  0.3056  0.5256  0.5000  4 Ni 2.53-2.73, 4 Sn 2.55-2.68
Ni  0.5256  0.0256  0.2200  4 Ni 2.53-2.73, 4 Sn 2.55-2.68
Ce  0.2500  0.2500  0.0000  8 Ni 3.03
Ce  0.7500  0.7500  0.0000  8 Ni 3.03
Sn  0.1587  0.6587  0.8174  8 Ni 2.55-2.68
Sn  0.8413  0.3413  0.1826  8 Ni 2.55-2.68
Sn  0.3413  0.1587  0.5000  8 Ni 2.55-2.68
Sn  0.6587  0.8413  0.5000  8 Ni 2.55-2.68

Raw total energy: -79.81 eV/cell
DOS at the Fermi energy: 14.33 states/eV per cell
Calculated formation energy: -0.406 eV/atom
Symmetry: I4/mcm, No. 140
Total magnetization: 0.33 μB per formula unit

=====

Record 2
A relaxed structure of CeNiSn. Source: Alexandria via LeMat-Bulk, functional PBE-GGA.

Cell lengths 3.2664, 3.2664, 6.2008 Å; angles 105.27, 105.27, 90.00 degrees
Last column: nearest neighbours and their distance in Å.
Fractional coordinates of all 3 atoms:
Ce  0.0184  0.0184  0.0367  4 Ni 2.94, 4 Ce 3.27
Sn  0.3048  0.3048  0.6097  4 Ni 2.74
Ni  0.6768  0.6768  0.3536  4 Sn 2.74, 4 Ce 2.94

Raw total energy: -16.83 eV/cell
DOS at the Fermi energy: 2.02 states/eV per cell
Calculated formation energy: -0.372 eV/atom
Symmetry: I4mm, No. 107
Total magnetization: 0.00 μB per formula unit

=====

Record 3
A relaxed structure of Ce2NiSn3. Source: Alexandria via LeMat-Bulk, functional PBE-GGA.

Cell lengths 4.6393, 6.0975, 6.1516 Å; angles 74.61, 67.85, 67.64 degrees
Last column: nearest neighbours and their distance in Å.
Fractional coordinates of all 6 atoms:
Sn  0.8881  0.5847  0.6392  1 Ni 2.57
Sn  0.1606  0.7616  0.9171  1 Ni 2.66
Sn  0.7996  0.2566  0.1441  2 Ni 2.55
Ce  0.4266  0.8316  0.3152  3 Ni 3.10-3.46, 7 Sn 3.16-3.40
Ce  0.5483  0.1784  0.7250  9 Sn 3.25-3.61, 3 Ni 3.42-3.59
Ni  0.1768  0.3871  0.2594  4 Sn 2.55-2.66

Raw total energy: -32.77 eV/cell
DOS at the Fermi energy: 12.11 states/eV per cell
Calculated formation energy: -0.518 eV/atom
Symmetry: Cm, No. 8
Total magnetization: 1.75 μB per formula unit

=====

Record 4
A relaxed structure of CeNi2Sn. Source: Alexandria via LeMat-Bulk, functional PBE-GGA.

Cell lengths 4.7731, 6.5570, 9.1985 Å; angles 90.00, 90.00, 90.00 degrees
Last column: nearest neighbours and their distance in Å.
Fractional coordinates of all 16 atoms:
Ni  0.2895  0.9722  0.6158  3 Sn 2.70-2.88, 4 Ce 2.70-2.98, 2 Ni 2.91-2.95
Ni  0.7105  0.4722  0.3842  3 Sn 2.70-2.88, 4 Ce 2.70-2.98, 2 Ni 2.91-2.95
Ni  0.2105  0.9722  0.1158  3 Sn 2.70-2.88, 4 Ce 2.70-2.98, 2 Ni 2.91-2.95
Ni  0.7895  0.4722  0.8842  3 Sn 2.70-2.88, 4 Ce 2.70-2.98, 2 Ni 2.91-2.95
Ni  0.7105  0.0278  0.3842  3 Sn 2.70-2.88, 4 Ce 2.70-2.98, 2 Ni 2.91-2.95
Ni  0.2895  0.5278  0.6158  3 Sn 2.70-2.88, 4 Ce 2.70-2.98, 2 Ni 2.91-2.95
Ni  0.7895  0.0278  0.8842  3 Sn 2.70-2.88, 4 Ce 2.70-2.98, 2 Ni 2.91-2.95
Ni  0.2105  0.5278  0.1158  3 Sn 2.70-2.88, 4 Ce 2.70-2.98, 2 Ni 2.91-2.95
Sn  0.7428  0.2500  0.1295  6 Ni 2.70-2.88
Sn  0.2572  0.7500  0.8705  6 Ni 2.70-2.88
Sn  0.7572  0.2500  0.6295  6 Ni 2.70-2.88
Sn  0.2428  0.7500  0.3705  6 Ni 2.70-2.88
Ce  0.7661  0.7500  0.6276  8 Ni 2.70-2.98
Ce  0.2661  0.2500  0.8724  8 Ni 2.70-2.98
Ce  0.7339  0.7500  0.1276  8 Ni 2.70-2.98
Ce  0.2339  0.2500  0.3724  8 Ni 2.70-2.98

Raw total energy: -92.94 eV/cell
DOS at the Fermi energy: 17.93 states/eV per cell
Calculated formation energy: -0.434 eV/atom
Symmetry: Pnma, No. 62
Total magnetization: 0.00 μB per formula unit

=====

Record 5
A relaxed structure of CeNi3Sn3. Source: Alexandria via LeMat-Bulk, functional PBE-GGA.

Cell lengths 6.9094, 6.9094, 6.9094 Å; angles 90.00, 90.00, 90.00 degrees
Last column: nearest neighbours and their distance in Å.
Fractional coordinates of all 14 atoms:
Sn  0.5000  0.0000  0.7500  4 Ni 2.44
Sn  0.5000  0.0000  0.2500  4 Ni 2.44
Sn  0.0000  0.2500  0.5000  4 Ni 2.44
Sn  0.7500  0.5000  0.0000  4 Ni 2.44
Sn  0.0000  0.7500  0.5000  4 Ni 2.44
Sn  0.2500  0.5000  0.0000  4 Ni 2.44
Ni  0.7500  0.0000  0.5000  4 Sn 2.44
Ni  0.0000  0.5000  0.7500  4 Sn 2.44
Ni  0.5000  0.2500  0.0000  4 Sn 2.44
Ni  0.5000  0.7500  0.0000  4 Sn 2.44
Ni  0.0000  0.5000  0.2500  4 Sn 2.44
Ni  0.2500  0.0000  0.5000  4 Sn 2.44
Ce  0.0000  0.0000  0.0000  12 Sn 3.86, 12 Ni 3.86
Ce  0.5000  0.5000  0.5000  12 Sn 3.86, 12 Ni 3.86

Raw total energy: -70.25 eV/cell
DOS at the Fermi energy: 22.42 states/eV per cell
Calculated formation energy: 0.023 eV/atom
Symmetry: Pm-3n, No. 223
Total magnetization: 1.48 μB per formula unit

=====

Record 6
A relaxed structure of CeNiSn. Source: Alexandria via LeMat-Bulk, functional PBE-GGA.

Cell lengths 3.7932, 4.5016, 4.5016 Å; angles 120.00, 90.00, 90.00 degrees
Last column: nearest neighbours and their distance in Å.
Fractional coordinates of all 3 atoms:
Ce  0.6665  0.6667  0.3333  6 Ni 3.22, 6 Sn 3.22
Sn  0.1665  0.0000  0.0000  3 Ni 2.60
Ni  0.1670  0.3333  0.6667  3 Sn 2.60

Raw total energy: -17.32 eV/cell
DOS at the Fermi energy: 4.56 states/eV per cell
Calculated formation energy: -0.533 eV/atom
Symmetry: P-6m2, No. 187
Total magnetization: 0.49 μB per formula unit